(1)
DFT (GGA-PBE) results for a relaxed MnFeAu crystal.

a = 9.211 Å, b = 2.739 Å, c = 7.312 Å
α = 90.00°, β = 90.00°, γ = 90.00°
Space group Pnma (No. 62)
One atom of each set of equivalent atoms:
Mn  0.118  0.250  0.057 [4 per cell]
Fe  0.118  0.750  0.755 [4 per cell]
Au  0.136  0.250  0.434 [4 per cell]

(2)
DFT (GGA-PBE) results for a relaxed MnFe2Au crystal.

a = 2.6625 Å, b = 2.6625 Å, c = 26.1762 Å
α = 90.00°, β = 90.00°, γ = 120.00°
Space group R-3m (No. 166, hexagonal axes)
One atom of each set of equivalent atoms:
Mn  0.0000  0.0000  0.0000 [3 per cell]
Fe  0.0000  0.0000  0.2570 [6 per cell]
Au  0.0000  0.0000  0.5000 [3 per cell]

(3)
DFT (GGA-PBE) results for a relaxed MnFeAu crystal.

a = 4.3442 Å, b = 4.3442 Å, c = 2.7600 Å
α = 90.00°, β = 90.00°, γ = 120.00°
Space group P3m1 (No. 156)
One atom of each set of equivalent atoms:
Mn  0.0000  0.0000  0.0000 [1 per cell]
Fe  0.3333  0.6667  0.6817 [1 per cell]
Au  0.6667  0.3333  0.3694 [1 per cell]

(4)
DFT (GGA-PBE) results for a relaxed MnFe2Au crystal.

a = 8.661 Å, b = 2.706 Å, c = 4.888 Å
α = 90.00°, β = 98.06°, γ = 90.00°
Space group Cm (No. 8)
One atom of each set of equivalent atoms:
Mn  0.000  0.000  0.000 [2 per cell]
Fe  0.000  0.500  0.543 [2 per cell]
Fe  0.249  0.000  0.753 [2 per cell]
Au  0.252  0.500  0.262 [2 per cell]

(5)
DFT (GGA-PBE) results for a relaxed Mn2Fe2Au crystal.

a = 6.875 Å, b = 6.875 Å, c = 2.563 Å
α = 90.00°, β = 90.00°, γ = 90.00°
Space group P4/mbm (No. 127)
One atom of each set of equivalent atoms:
Mn  0.164  0.336  0.000 [4 per cell]
Fe  0.124  0.624  0.500 [4 per cell]
Au  0.000  0.000  0.500 [2 per cell]

(6)
DFT (GGA-PBE) results for a relaxed MnFe4Au crystal.

a = 6.782 Å, b = 6.782 Å, c = 6.782 Å
α = 90.00°, β = 90.00°, γ = 90.00°
Space group F-43m (No. 216)
One atom of each set of equivalent atoms:
Mn  0.000  0.000  0.000 [4 per cell]
Fe  0.126  0.126  0.374 [16 per cell]
Au  0.250  0.250  0.750 [4 per cell]

(7)
DFT (GGA-PBE) results for a relaxed MnFe2Au crystal.

a = 3.010 Å, b = 3.010 Å, c = 6.183 Å
α = 90.00°, β = 90.00°, γ = 90.00°
Space group P4mm (No. 99)
One atom of each set of equivalent atoms:
Mn  0.000  0.000  0.000 [1 per cell]
Fe  0.000  0.000  0.563 [1 per cell]
Fe  0.500  0.500  0.764 [1 per cell]
Au  0.500  0.500  0.281 [1 per cell]

(8)
DFT (GGA-PBE) results for a relaxed MnFe2Au crystal.

a = 6.081 Å, b = 6.081 Å, c = 6.081 Å
α = 90.00°, β = 90.00°, γ = 90.00°
Space group F-43m (No. 216)
One atom of each set of equivalent atoms:
Mn  0.000  0.000  0.000 [4 per cell]
Fe  0.000  0.000  0.500 [4 per cell]
Fe  0.250  0.250  0.250 [4 per cell]
Au  0.250  0.250  0.750 [4 per cell]

ΔE_f / meV/atom: 317; 303; 303; 232; 274; 170; 131; 201